The following is a PBE calculation of Sr2HfCo after structural relaxation, from OQMD via LeMat-Bulk.

abc: 5.186 5.186 5.186
angles: 60.00 60.00 60.00
Atoms (fractional coordinates):
1 Sr 0.000 0.000 0.000
2 Sr 0.750 0.750 0.750
3 Co 0.250 0.250 0.250
4 Hf 0.500 0.500 0.500

Results
The value obtained for the total energy is -4.238 eV per atom. Its space-group type is No. 216. The value obtained for the total magnetic moment is 0.0 μB per formula unit. For the volume, the calculation gives 24.7 Å³/atom.